## Zr2BOsCl (PBE)

Data for a relaxed Zr2BOsCl crystal.

For the uncorrected formation energy, the calculation gives -0.0323 eV per atom. Its density is 7.62 g/cm3.

Cell lengths 4.835, 4.835, 3.903 Å; angles 90.00, 90.00, 90.00 degrees
Space group P4/mmm (No. 123)
Asymmetric unit:
Zr1 0.000 0.500 0.000 x2
B1 0.000 0.000 0.000 x1
Os1 0.000 0.000 0.500 x1
Cl1 0.500 0.500 0.500 x1

## TcHRu3 (PBE)

Data for a relaxed TcHRu3 crystal.

The energy above the most stable polymorph in this dataset comes out at 2.277 eV per atom. Its density is 6.58 g/cm3.

Cell lengths 4.664, 4.664, 4.664 Å; angles 90.00, 90.00, 90.00 degrees
Space group Pm-3m (No. 221)
Asymmetric unit:
Tc1 0.000 0.000 0.000 x1
H1 0.500 0.500 0.500 x1
Ru1 0.000 0.000 0.500 x3